PaCoTe, relaxed, DFT PBE; symmetry = No. 216; density of states at the Fermi level = 14.576 states/eV/cell; formation energy without anion corrections = -477 meV per atom; magnetic moment = 0.000 μB per formula unit
1.0
6.354 0.000 0.000
0.000 6.354 0.000
0.000 0.000 6.354
Pa Co Te
4 4 4
Cartesian
0.000 0.000 0.000 Pa
0.000 3.177 3.177 Pa
3.177 0.000 3.177 Pa
3.177 3.177 0.000 Pa
1.589 1.589 1.589 Co
1.589 4.766 4.766 Co
4.766 1.589 4.766 Co
4.766 4.766 1.589 Co
0.000 0.000 3.177 Te
0.000 3.177 0.000 Te
3.177 0.000 0.000 Te
3.177 3.177 3.177 Te